No. 1
A PBEsol-optimized structure of CsSbTe2Ir, computed with meta-GGA SCAN.

The value obtained for the relative energy among the computed polymorphs is 0.00 eV per formula unit. As for the formation energy (no corrections): -0.0289 eV per atom. The total energy is -44.163 eV per atom.

Cell: 4.977 5.595 5.595 Å, 90.00 90.00 90.00°
Fractional coordinates of all 5 atoms:
1 Cs 0.500 0.500 0.500
2 Sb 0.500 0.000 0.000
3 Ir 0.000 0.000 0.000
4 Te 0.000 0.000 0.500
5 Te 0.000 0.500 0.000

=====

No. 2
A PBEsol-optimized structure of CsSbTe2Ir, computed with meta-GGA SCAN.

The value obtained for the relative energy among the computed polymorphs is 12.22 eV per formula unit. As for the formation energy (no corrections): 2.4152 eV per atom. The total energy is -41.719 eV per atom.

Cell: 6.097 5.903 5.903 Å, 90.00 90.00 90.00°
Each line ends with the local moment (μB).
Fractional coordinates of all 5 atoms:
1 Cs 0.000 0.000 0.000  -0.01
2 Sb 0.500 0.000 0.000  -0.24
3 Ir 0.500 0.500 0.500  2.67
4 Te 0.000 0.000 0.500  0.13
5 Te 0.000 0.500 0.000  0.13

=====

No. 3
A PBEsol-optimized structure of CsIrSe2, computed with meta-GGA SCAN.

As for the formation energy (no corrections): -0.3919 eV per atom. The total energy is -37.659 eV per atom.

Cell: 3.873 3.873 9.229 Å, 77.89 77.89 60.00°
Fractional coordinates of all 4 atoms:
1 Cs 0.000 0.000 0.000
2 Ir 0.500 0.500 0.500
3 Se 0.876 0.876 0.371
4 Se 0.124 0.124 0.629

=====

No. 4
A PBEsol-optimized structure of CsTcIr3, computed with meta-GGA SCAN.

Its energy relative to the elements is 1.55 eV/atom. The total energy is -55.683 eV per atom.

Cell: 4.784 4.784 4.784 Å, 90.00 90.00 90.00°
Fractional coordinates of all 5 atoms:
1 Cs 0.500 0.500 0.500
2 Ir 0.000 0.500 0.000
3 Ir 0.000 0.000 0.500
4 Ir 0.500 0.000 0.000
5 Tc 0.000 0.000 0.000